Computed, not measured: a relaxed CdIr2 crystal at the PBE level of DFT.

- Crystal system: hexagonal
- Size of the total moment: 1.31 μB per formula unit
- Total DFT energy (no corrections): -17.12 eV/f.u.

a = 7.808 Å, b = 7.808 Å, c = 2.775 Å
α = 90.00°, β = 90.00°, γ = 120.00°
Atoms (fractional coordinates):
Cd 0.000 0.000 0.000
Cd 0.333 0.667 0.500
Cd 0.667 0.333 0.500
Ir 0.000 0.311 0.500
Ir 0.000 0.644 0.000
Ir 0.311 0.000 0.500
Ir 0.356 0.356 0.000
Ir 0.644 0.000 0.000
Ir 0.689 0.689 0.500